DFT (PBE) results for crystalline Sc2PbBr at its relaxed geometry.

Unit cell a=6.256 b=6.256 c=6.256 alpha=140.54 beta=140.54 gamma=57.04
Each line ends with the local moment (μB).
Sites, in units of the cell vectors:
Br1 0.500 0.500 0.000  0.01
Pb1 0.750 0.250 0.500  -0.03
Sc1 0.000 0.000 0.000  0.29
Sc2 0.250 0.750 0.500  0.25

Values from the calculation:
Its raw formation energy is -313 meV/atom. Its total moment is 0.8 μB per formula unit. For the electronic total energy, the calculation gives -4.824 eV/atom.